Record 1
CsSb4Au | PBE | relaxed

The space group is P-1 (No. 2) and the conventional cell measures 7.379, 8.556 and 8.855 Å, with angles of 111.85, 91.11 and 98.66 degrees. The inequivalent atoms are Cs at (0.000, 0.000, 0.000), Cs at (0.500, 0.500, 0.000), Sb at (0.018, 0.363, 0.839), Sb at (0.076, 0.598, 0.668), Sb at (0.376, 0.948, 0.628), Sb at (0.472, 0.642, 0.652) and Au at (0.300, 0.839, 0.290).

Its energy above the most stable polymorph in this dataset is 19 meV per atom. The value obtained for the theoretical density is 5.31 g cm⁻³. As for the formation energy (no corrections): -105 meV/atom. As for the total moment: 0.00 μB/f.u.

***

Record 2
CsSbAu3 | PBE | relaxed

The space group is P4mm (No. 99) and the conventional cell measures 5.336, 5.336 and 6.778 Å, with angles of 90.00, 90.00 and 90.00 degrees. The inequivalent atoms are Cs at (0.000, 0.000, 0.000), Sb at (0.500, 0.500, 0.619), Au at (0.000, 0.000, 0.499) and Au at (0.000, 0.500, 0.514).

Its energy above the most stable polymorph in this dataset is 98 meV per atom. The value obtained for the theoretical density is 7.28 g cm⁻³. As for the formation energy (no corrections): -173 meV/atom. As for the total moment: 0.00 μB/f.u.

***

Record 3
CsSbAu3 | PBE | relaxed

The space group is P1 (No. 1) and the conventional cell measures 5.143, 7.189 and 9.490 Å, with angles of 98.73, 103.05 and 109.68 degrees. The inequivalent atoms are Cs at (0.000, 0.000, 0.000), Cs at (0.172, 0.866, 0.550), Sb at (0.367, 0.591, 0.174), Sb at (0.534, 0.478, 0.704), Au at (0.108, 0.478, 0.865), Au at (0.453, 0.356, 0.390), Au at (0.602, 0.994, 0.299), Au at (0.677, 0.463, 0.003), Au at (0.912, 0.379, 0.267) and Au at (0.945, 0.316, 0.560).

Its energy above the most stable polymorph in this dataset is 24 meV per atom. The value obtained for the theoretical density is 9.01 g cm⁻³. As for the formation energy (no corrections): -248 meV/atom. As for the total moment: 0.00 μB/f.u.

***

Record 4
CsSbAu3 | PBE | relaxed

The space group is P1 (No. 1) and the conventional cell measures 6.961, 7.110 and 7.220 Å, with angles of 102.87, 100.73 and 118.37 degrees. The inequivalent atoms are Cs at (0.000, 0.000, 0.000), Cs at (0.499, 0.499, 0.501), Sb at (0.183, 0.828, 0.493), Sb at (0.684, 0.329, 0.993), Au at (0.386, 0.866, 0.873), Au at (0.460, 0.551, 0.995), Au at (0.488, 0.926, 0.288), Au at (0.885, 0.365, 0.373), Au at (0.958, 0.049, 0.494) and Au at (0.990, 0.427, 0.789).

Its energy above the most stable polymorph in this dataset is 26 meV per atom. The value obtained for the theoretical density is 9.74 g cm⁻³. As for the formation energy (no corrections): -246 meV/atom. As for the total moment: 0.00 μB/f.u.

***

Record 5
Cs2Sb2Au | PBE | relaxed

The space group is I4/mmm (No. 139) and the conventional cell measures 4.354, 4.354 and 22.101 Å, with angles of 90.00, 90.00 and 90.00 degrees. The inequivalent atoms are Cs at (0.000, 0.000, 0.098), Sb at (0.000, 0.500, 0.250) and Au at (0.000, 0.000, 0.500).

The value obtained for the theoretical density is 5.60 g cm⁻³. As for the formation energy (no corrections): -267 meV/atom. As for the total moment: 0.00 μB/f.u.

***

Record 6
CsSbAu3 | PBE | relaxed

The space group is C2/m (No. 12) and the conventional cell measures 14.477, 4.897 and 9.923 Å, with angles of 90.00, 110.09 and 90.00 degrees. The inequivalent atoms are Cs at (0.173, 0.000, 0.118), Sb at (0.135, 0.500, 0.411), Au at (0.008, 0.500, 0.870), Au at (0.077, 0.500, 0.647) and Au at (0.150, 0.000, 0.541).

Its energy above the most stable polymorph in this dataset is 142 meV per atom. The value obtained for the theoretical density is 8.50 g cm⁻³. As for the formation energy (no corrections): -129 meV/atom. As for the total moment: 0.00 μB/f.u.